(1)
First-principles (PBE) data for crystalline CeThIr2 at its relaxed geometry, as listed in Alexandria via LeMat-Bulk.

a = 3.5406 Å, b = 3.5406 Å, c = 7.0686 Å
α = 90.00°, β = 90.00°, γ = 90.00°
Closest atoms and distances in Å follow each position.
Positions (direct):
Th  0.5000  0.5000  0.0000  8 Ir 3.07
Ir  0.0000  0.0000  0.2524  4 Ce 3.05, 4 Th 3.07
Ir  0.0000  0.0000  0.7476  4 Ce 3.05, 4 Th 3.07
Ce  0.5000  0.5000  0.5000  8 Ir 3.05

* symmetry: P4/mmm
* raw total energy: -8.46 eV/atom
* E above lowest polymorph: 213 meV/atom

---

(2)
First-principles (PBE) data for crystalline CeThIr at its relaxed geometry, as listed in Alexandria via LeMat-Bulk.

a = 4.0677 Å, b = 4.5754 Å, c = 4.5754 Å
α = 120.00°, β = 90.00°, γ = 90.00°
Closest atoms and distances in Å follow each position.
Positions (direct):
Ir  0.9995  0.0000  0.0000  3 Ce 2.92, 3 Th 2.92
Ce  0.6933  0.6667  0.3333  3 Ir 2.92, 3 Th 3.07
Th  0.3072  0.3333  0.6667  3 Ir 2.92, 3 Ce 3.07

* symmetry: P3m1
* raw total energy: -7.86 eV/atom
* E above lowest polymorph: 186 meV/atom

---

(3)
First-principles (PBE) data for crystalline CeThIr at its relaxed geometry, as listed in Alexandria via LeMat-Bulk.

a = 4.9167 Å, b = 4.9167 Å, c = 4.9167 Å
α = 60.00°, β = 60.00°, γ = 60.00°
Closest atoms and distances in Å follow each position.
Positions (direct):
Th  0.0000  0.0000  0.0000  4 Ir 3.01
Ir  0.2500  0.2500  0.2500  4 Ce 3.01, 4 Th 3.01
Ce  0.5000  0.5000  0.5000  4 Ir 3.01

* symmetry: F-43m
* raw total energy: -7.84 eV/atom
* E above lowest polymorph: 204 meV/atom

---

(4)
First-principles (PBE) data for crystalline CeTiIr at its relaxed geometry, as listed in Alexandria via LeMat-Bulk.

a = 3.9654 Å, b = 7.3424 Å, c = 7.3424 Å
α = 120.00°, β = 90.00°, γ = 90.00°
Closest atoms and distances in Å follow each position.
Positions (direct):
Ce  0.0000  0.0000  0.4333  5 Ir 2.94-3.18, 2 Ti 3.17
Ce  0.0000  0.5667  0.5667  5 Ir 2.94-3.18, 2 Ti 3.17
Ce  0.0000  0.4333  0.0000  5 Ir 2.94-3.18, 2 Ti 3.17
Ir  0.5000  0.3333  0.6667  3 Ti 2.91, 6 Ce 2.94
Ir  0.0000  0.0000  0.0000  6 Ti 2.60
Ir  0.5000  0.6667  0.3333  3 Ti 2.91, 6 Ce 2.94
Ti  0.5000  0.7709  0.0000  4 Ir 2.60-2.91
Ti  0.5000  0.2291  0.2291  4 Ir 2.60-2.91
Ti  0.5000  0.0000  0.7709  4 Ir 2.60-2.91

* symmetry: P-62m
* raw total energy: -8.10 eV/atom

---

Number 1: formation energy -693 meV/atom. Number 2: formation energy -455 meV/atom. Number 3: formation energy -438 meV/atom. Number 4: formation energy -533 meV/atom.